(1)
DFT (GGA-PBE) results for an optimized crystal structure of Th3Hg.

Unit cell a=4.922 b=4.922 c=4.922 alpha=90.00 beta=90.00 gamma=90.00
Space group Pm-3m (No. 221)
Unique sites:
Th: 0.000 0.000 0.500 (multiplicity 3)
Hg: 0.500 0.500 0.500 (multiplicity 1)

## Properties
- ΔH_f (0 K) (kJ/mol of formula units) = -22

(2)
DFT (GGA-PBE) results for an optimized crystal structure of Th3Hg.

Unit cell a=3.603 b=4.494 c=7.363 alpha=90.00 beta=90.00 gamma=90.00
Space group Pmmm (No. 47)
Unique sites:
Th: 0.000 0.000 0.000 (multiplicity 1)
Th: 0.500 0.500 0.265 (multiplicity 2)
Hg: 0.000 0.000 0.500 (multiplicity 1)

## Properties
- ΔH_f (0 K) (kJ/mol of formula units) = -32

(3)
DFT (GGA-PBE) results for an optimized crystal structure of Th3Hg.

Unit cell a=4.874 b=4.874 c=10.073 alpha=90.00 beta=90.00 gamma=90.00
Space group I4/mmm (No. 139)
Unique sites:
Th: 0.000 0.000 0.000 (multiplicity 2)
Th: 0.000 0.500 0.250 (multiplicity 4)
Hg: 0.000 0.000 0.500 (multiplicity 2)

## Properties
- ΔH_f (0 K) (kJ/mol of formula units) = -17

(4)
DFT (GGA-PBE) results for an optimized crystal structure of Th4Hg3.

Unit cell a=4.7475 b=4.7475 c=34.3435 alpha=90.00 beta=90.00 gamma=120.00
Space group R-3m (No. 166, hexagonal axes)
Unique sites:
Th: 0.0000 0.0000 0.1188 (multiplicity 6)
Th: 0.0000 0.0000 0.3045 (multiplicity 6)
Hg: 0.0000 0.0000 0.4048 (multiplicity 6)
Hg: 0.0000 0.0000 0.5000 (multiplicity 3)

## Properties
- ΔH_f (0 K) (kJ/mol of formula units) = 101

(5)
DFT (GGA-PBE) results for an optimized crystal structure of Th3Hg.

Unit cell a=3.450 b=3.452 c=10.594 alpha=90.00 beta=90.00 gamma=90.00
Space group Pmm2 (No. 25)
Unique sites:
Th: 0.000 0.000 0.000 (multiplicity 1)
Th: 0.000 0.500 0.278 (multiplicity 1)
Th: 0.500 0.500 0.754 (multiplicity 1)
Hg: 0.500 0.000 0.490 (multiplicity 1)

## Properties
- ΔH_f (0 K) (kJ/mol of formula units) = 51

(6)
DFT (GGA-PBE) results for an optimized crystal structure of Th3Hg5.

Unit cell a=7.661 b=10.772 c=5.292 alpha=90.00 beta=90.00 gamma=90.00
Space group Cmmm (No. 65)
Unique sites:
Th: 0.000 0.000 0.000 (multiplicity 2)
Th: 0.000 0.288 0.500 (multiplicity 4)
Hg: 0.000 0.500 0.000 (multiplicity 2)
Hg: 0.214 0.000 0.500 (multiplicity 4)
Hg: 0.250 0.250 0.000 (multiplicity 4)

## Properties
- ΔH_f (0 K) (kJ/mol of formula units) = -152